(1)
{
  "formula": "Tl4Te2Au",
  "functional": "PBE-GGA",
  "state": "optimized geometry",
  "lattice": [[0.347, 4.712, -0.926], [-4.057, -0.836, -5.771], [-4.211, -0.845, 6.644]],
  "species": ["Tl", "Tl", "Tl", "Tl", "Te", "Te", "Au"],
  "frac_coords": [[0.444, 0.688, 0.889], [0.846, 0.281, 0.692], [0.154, 0.719, 0.308], [0.556, 0.312, 0.111], [0.809, 0.782, 0.619], [0.191, 0.218, 0.381], [0.000, 0.000, 0.000]],
  "magnetic_moment_mub_per_fu": 0.000,
  "e_form_raw_kj_per_mol_fu": -123,
  "space_group": "No. 12",
  "dos_ef_per_ev_atom": 0.32
}



(2)
{
  "formula": "Be2AgCl",
  "functional": "PBE-GGA",
  "state": "optimized geometry",
  "lattice": [[-4.095, -1.891, -2.784], [-2.399, -2.952, 3.692], [1.274, 4.810, -1.827]],
  "species": ["Ag", "Be", "Be", "Cl"],
  "frac_coords": [[0.211, 0.711, 0.500], [0.745, 0.245, 0.500], [0.975, 0.975, 0.000], [0.569, 0.569, 0.000]],
  "relative_energy_ev_per_atom": 0.290,
  "magnetic_moment_mub_per_fu": 0.000,
  "e_form_raw_kj_per_mol_fu": 126,
  "space_group": "No. 44",
  "dos_ef_per_ev_atom": 0.17
}



(3)
{
  "formula": "HfV3Os",
  "functional": "PBE-GGA",
  "state": "optimized geometry",
  "lattice": [[-3.710, 2.553, 0.916], [-2.165, -1.851, -3.607], [-1.635, -3.344, 2.696]],
  "species": ["V", "V", "V", "Os", "Hf"],
  "frac_coords": [[0.000, 0.500, 0.000], [0.000, 0.000, 0.500], [0.500, 0.000, 0.000], [0.000, 0.000, 0.000], [0.500, 0.500, 0.500]],
  "relative_energy_ev_per_atom": 0.000,
  "magnetic_moment_mub_per_fu": 2.997,
  "space_group": "No. 221",
  "dos_ef_per_ev_atom": 1.66
}



(4)
{
  "formula": "CeTm3Th2As6",
  "functional": "PBE-GGA",
  "state": "optimized geometry",
  "lattice": [[4.167, 0.000, 0.000], [0.000, 8.279, 0.325], [-2.083, -2.357, 8.732]],
  "species": ["As", "As", "As", "As", "As", "As", "Th", "Th", "Tm", "Tm", "Tm", "Ce"],
  "frac_coords": [[0.664, 0.590, 0.328], [0.997, 0.255, 0.995], [0.003, 0.745, 0.005], [0.331, 0.923, 0.662], [0.669, 0.077, 0.338], [0.336, 0.410, 0.672], [0.834, 0.668, 0.668], [0.166, 0.332, 0.332], [0.166, 0.834, 0.333], [0.834, 0.166, 0.667], [0.500, 0.500, 0.000], [0.500, 0.000, 0.000]],
  "magnetic_moment_mub_per_fu": 0.794,
  "dft_energy_ev_per_cell": -79.56,
  "space_group": "No. 12",
  "dos_ef_per_ev_atom": 0.76
}



(5)
{
  "formula": "Sm2Mo3N5",
  "functional": "PBE-GGA",
  "state": "optimized geometry",
  "lattice": [[-0.764, -0.439, -3.077], [1.646, -5.555, -1.281], [-6.147, -3.171, 0.314]],
  "species": ["N", "N", "N", "N", "N", "Mo", "Mo", "Mo", "Sm", "Sm"],
  "frac_coords": [[0.303, 0.603, 0.791], [0.000, 0.000, 0.000], [0.697, 0.397, 0.209], [0.081, 0.245, 0.593], [0.919, 0.755, 0.407], [0.130, 0.632, 0.107], [0.870, 0.368, 0.893], [0.500, 0.500, 0.500], [0.336, 0.064, 0.264], [0.664, 0.936, 0.736]],
  "magnetic_moment_mub_per_fu": 0.000,
  "e_form_raw_kj_per_mol_fu": -787,
  "space_group": "No. 12",
  "dos_ef_per_ev_atom": 0.59
}



(6)
{
  "formula": "Ac2Tl3Ag5",
  "functional": "PBE-GGA",
  "state": "optimized geometry",
  "lattice": [[-4.826, 4.234, 1.570], [-4.409, -2.832, 7.998], [3.126, 6.332, 6.447]],
  "species": ["Ag", "Ag", "Ag", "Ag", "Ag", "Ag", "Ag", "Ag", "Ag", "Ag", "Ac", "Ac", "Ac", "Ac", "Tl", "Tl", "Tl", "Tl", "Tl", "Tl"],
  "frac_coords": [[0.620, 0.730, 0.029], [0.477, 0.773, 0.773], [0.523, 0.227, 0.227], [0.880, 0.971, 0.270], [0.023, 0.227, 0.227], [0.380, 0.270, 0.971], [0.750, 0.500, 0.500], [0.120, 0.029, 0.730], [0.250, 0.500, 0.500], [0.977, 0.773, 0.773], [0.374, 0.859, 0.393], [0.626, 0.141, 0.607], [0.874, 0.393, 0.859], [0.126, 0.607, 0.141], [0.637, 0.483, 0.243], [0.863, 0.757, 0.517], [0.137, 0.243, 0.483], [0.363, 0.517, 0.757], [0.750, 0.000, 0.000], [0.250, 0.000, 0.000]],
  "magnetic_moment_mub_per_fu": 0.000,
  "dft_energy_ev_per_cell": -61.99,
  "space_group": "No. 72",
  "dos_ef_per_ev_atom": 0.65
}



(7)
{
  "formula": "BeRhPbO5",
  "functional": "PBE-GGA",
  "state": "optimized geometry",
  "lattice": [[-1.871, -3.773, 3.108], [5.133, 0.179, 1.005], [-2.875, 6.880, 3.350]],
  "species": ["Be", "Be", "Pb", "Pb", "O", "O", "O", "O", "O", "O", "O", "O", "O", "O", "Rh", "Rh"],
  "frac_coords": [[0.691, 0.309, 0.250], [0.309, 0.691, 0.750], [0.000, 0.000, 0.500], [0.000, 0.000, 0.000], [0.872, 0.128, 0.750], [0.986, 0.350, 0.202], [0.014, 0.650, 0.798], [0.350, 0.986, 0.702], [0.576, 0.678, 0.901], [0.424, 0.322, 0.099], [0.322, 0.424, 0.599], [0.650, 0.014, 0.298], [0.128, 0.872, 0.250], [0.678, 0.576, 0.401], [0.357, 0.643, 0.250], [0.643, 0.357, 0.750]],
  "magnetic_moment_mub_per_fu": 0.807,
  "e_form_raw_kj_per_mol_fu": -759,
  "space_group": "No. 15",
  "dos_ef_per_ev_atom": 0.72
}



(8)
{
  "formula": "BeTlNi3",
  "functional": "PBE-GGA",
  "state": "optimized geometry",
  "lattice": [[4.026, 0.000, 0.000], [0.000, 4.026, 0.000], [0.000, 0.000, 4.026]],
  "species": ["Ni", "Ni", "Ni", "Tl", "Be"],
  "frac_coords": [[0.000, 0.000, 0.500], [0.500, 0.000, 0.000], [0.000, 0.500, 0.000], [0.500, 0.500, 0.500], [0.000, 0.000, 0.000]],
  "relative_energy_ev_per_atom": 0.000,
  "magnetic_moment_mub_per_fu": 0.000,
  "space_group": "No. 221",
  "dos_ef_per_ev_atom": 0.73
}



(9)
{
  "formula": "KYIr2",
  "functional": "PBE-GGA",
  "state": "optimized geometry",
  "lattice": [[-1.919, 3.737, 1.596], [-2.898, -0.064, -3.336], [-4.885, -3.099, 1.382]],
  "species": ["Y", "Ir", "Ir", "K"],
  "frac_coords": [[0.500, 0.753, 0.870], [0.500, 0.102, 0.172], [0.000, 0.178, 0.018], [0.000, 0.468, 0.440]],
  "relative_energy_ev_per_atom": 0.000,
  "magnetic_moment_mub_per_fu": 0.000,
  "space_group": "No. 38",
  "dos_ef_per_ev_atom": 0.55
}



(10)
{
  "formula": "Pr3Pu2ThSe6",
  "functional": "PBE-GGA",
  "state": "optimized geometry",
  "lattice": [[-1.963, 2.982, -2.204], [-2.557, -5.818, -5.595], [-5.796, -1.364, 7.309]],
  "species": ["Se", "Se", "Se", "Se", "Se", "Se", "Th", "Pr", "Pr", "Pr", "Pu", "Pu"],
  "frac_coords": [[0.669, 0.577, 0.339], [0.331, 0.423, 0.661], [0.002, 0.249, 0.005], [0.998, 0.751, 0.995], [0.334, 0.909, 0.667], [0.666, 0.091, 0.333], [0.500, 0.000, 0.000], [0.500, 0.500, 0.000], [0.834, 0.167, 0.667], [0.166, 0.833, 0.333], [0.167, 0.334, 0.334], [0.833, 0.666, 0.666]],
  "magnetic_moment_mub_per_fu": 11.501,
  "e_form_raw_kj_per_mol_fu": -1967,
  "space_group": "No. 12",
  "dos_ef_per_ev_atom": 1.71
}



(11)
{
  "formula": "SrCa2Sn8",
  "functional": "PBE-GGA",
  "state": "optimized geometry",
  "lattice": [[-5.034, -3.874, -0.760], [0.698, 0.310, -6.207], [7.071, -4.934, 5.239]],
  "species": ["Sn", "Sn", "Sn", "Sn", "Sn", "Sn", "Sn", "Sn", "Sr", "Ca", "Ca"],
  "frac_coords": [[0.913, 0.043, 0.350], [0.437, 0.043, 0.350], [0.518, 0.782, 0.036], [0.482, 0.218, 0.964], [0.908, 0.411, 0.816], [0.092, 0.589, 0.184], [0.087, 0.957, 0.650], [0.563, 0.957, 0.650], [0.000, 0.000, 0.000], [0.673, 0.523, 0.345], [0.327, 0.477, 0.655]],
  "magnetic_moment_mub_per_fu": 0.000,
  "dft_energy_ev_per_cell": -41.28,
  "space_group": "No. 12",
  "dos_ef_per_ev_atom": 0.42
}



(12)
{
  "formula": "LaTlTe2N",
  "functional": "PBE-GGA",
  "state": "optimized geometry",
  "lattice": [[6.659, 0.000, 0.000], [0.000, 6.659, 0.000], [0.000, 0.000, 4.017]],
  "species": ["Te", "Te", "N", "La", "Tl"],
  "frac_coords": [[0.000, 0.500, 0.000], [0.500, 0.000, 0.000], [0.000, 0.000, 0.500], [0.000, 0.000, 0.000], [0.500, 0.500, 0.500]],
  "relative_energy_ev_per_atom": 0.000,
  "magnetic_moment_mub_per_fu": 0.066,
  "e_form_raw_kj_per_mol_fu": -28,
  "space_group": "No. 123",
  "dos_ef_per_ev_atom": 0.88
}



(13)
{
  "formula": "Ca2LaTlS",
  "functional": "PBE-GGA",
  "state": "optimized geometry",
  "lattice": [[5.324, 0.000, 0.000], [0.000, 5.324, 0.000], [0.000, 0.000, 5.604]],
  "species": ["Ca", "Ca", "S", "La", "Tl"],
  "frac_coords": [[0.000, 0.500, 0.000], [0.500, 0.000, 0.000], [0.000, 0.000, 0.000], [0.000, 0.000, 0.500], [0.500, 0.500, 0.500]],
  "magnetic_moment_mub_per_fu": 0.000,
  "e_form_raw_kj_per_mol_fu": -438,
  "space_group": "No. 123",
  "dos_ef_per_ev_atom": 0.56
}



(14)
{
  "formula": "LaTbHo2Er2",
  "functional": "PBE-GGA",
  "state": "optimized geometry",
  "lattice": [[-0.445, 3.134, -1.576], [-13.572, 2.223, 8.252], [3.588, 3.062, 5.077]],
  "species": ["La", "La", "Er", "Er", "Er", "Er", "Ho", "Ho", "Ho", "Ho", "Tb", "Tb"],
  "frac_coords": [[0.500, 0.500, 0.500], [0.000, 0.000, 0.000], [0.000, 0.657, 0.249], [0.000, 0.343, 0.751], [0.500, 0.157, 0.251], [0.500, 0.843, 0.749], [0.500, 0.158, 0.749], [0.500, 0.842, 0.251], [0.000, 0.658, 0.751], [0.000, 0.342, 0.249], [0.000, 0.000, 0.500], [0.500, 0.500, 0.000]],
  "magnetic_moment_mub_per_fu": 0.000,
  "dft_energy_ev_per_cell": -53.60,
  "space_group": "No. 58",
  "dos_ef_per_ev_atom": 1.50
}



(15)
{
  "formula": "LaSnH2",
  "functional": "PBE-GGA",
  "state": "optimized geometry",
  "lattice": [[-1.810, -4.172, -2.261], [1.748, -2.432, 3.089], [-5.008, 1.165, 3.752]],
  "species": ["Sn", "Sn", "La", "La", "H", "H", "H", "H"],
  "frac_coords": [[0.500, 0.000, 0.500], [0.500, 0.500, 0.000], [0.000, 0.000, 0.000], [0.000, 0.500, 0.500], [0.133, 0.000, 0.656], [0.133, 0.500, 0.156], [0.867, 0.000, 0.344], [0.867, 0.500, 0.844]],
  "magnetic_moment_mub_per_fu": 0.000,
  "dft_energy_ev_per_cell": -34.44,
  "space_group": "No. 12",
  "dos_ef_per_ev_atom": 0.27
}



(16)
{
  "formula": "La2Pr4Sm5",
  "functional": "PBE-GGA",
  "state": "optimized geometry",
  "lattice": [[-1.395, -2.829, 1.691], [4.350, -5.776, -6.074], [7.976, 3.910, 9.335]],
  "species": ["Pr", "Pr", "Pr", "Pr", "Sm", "Sm", "Sm", "Sm", "Sm", "La", "La"],
  "frac_coords": [[0.000, 0.299, 0.000], [0.597, 0.597, 0.195], [0.000, 0.701, 0.000], [0.403, 0.403, 0.805], [0.500, 0.000, 0.000], [0.143, 0.951, 0.286], [0.857, 0.049, 0.714], [0.143, 0.335, 0.286], [0.857, 0.665, 0.714], [0.268, 0.268, 0.537], [0.732, 0.732, 0.463]],
  "relative_energy_ev_per_atom": 0.117,
  "magnetic_moment_mub_per_fu": 0.000,
  "space_group": "No. 71",
  "dos_ef_per_ev_atom": 1.44
}



(17)
{
  "formula": "RbAgSn2I6",
  "functional": "PBE-GGA",
  "state": "optimized geometry",
  "lattice": [[8.180, 0.002, 0.002], [4.092, 7.083, 0.001], [4.092, 2.362, 7.514]],
  "species": ["I", "I", "I", "I", "I", "I", "Sn", "Sn", "Ag", "Rb"],
  "frac_coords": [[0.578, 0.269, 0.234], [0.347, 0.733, 0.763], [0.919, 0.578, 0.234], [0.157, 0.347, 0.763], [0.269, 0.919, 0.234], [0.733, 0.157, 0.763], [0.519, 0.519, 0.443], [0.006, 0.006, 0.983], [0.325, 0.325, 0.025], [0.809, 0.809, 0.574]],
  "magnetic_moment_mub_per_fu": 0.000,
  "e_form_raw_kj_per_mol_fu": -586,
  "space_group": "No. 146",
  "dos_ef_per_ev_atom": 0.00
}



(18)
{
  "formula": "RbSbCl",
  "functional": "PBE-GGA",
  "state": "optimized geometry",
  "lattice": [[-0.336, 6.229, -0.926], [-3.652, 1.487, 1.574], [3.857, 4.515, 7.506]],
  "species": ["Rb", "Rb", "Sb", "Sb", "Cl", "Cl"],
  "frac_coords": [[0.219, 0.417, 0.444], [0.888, 0.419, 0.107], [0.862, 0.017, 0.776], [0.544, 0.676, 0.776], [0.643, 0.716, 0.445], [0.312, 0.718, 0.107]],
  "magnetic_moment_mub_per_fu": 0.000,
  "e_form_raw_kj_per_mol_fu": -298,
  "space_group": "No. 1"
}



(19)
{
  "formula": "PaGeSb",
  "functional": "PBE-GGA",
  "state": "optimized geometry",
  "lattice": [[3.087, 0.000, 0.000], [0.000, 5.098, 0.000], [0.000, -2.549, 4.415]],
  "species": ["Ge", "Sb", "Pa"],
  "frac_coords": [[0.501, 0.667, 0.333], [0.499, 0.333, 0.667], [0.000, 0.000, 0.000]],
  "relative_energy_ev_per_atom": 0.293,
  "magnetic_moment_mub_per_fu": 0.000,
  "e_form_raw_kj_per_mol_fu": -42,
  "space_group": "No. 187",
  "dos_ef_per_ev_atom": 0.88
}



(20)
{
  "formula": "K2CdAg",
  "functional": "PBE-GGA",
  "state": "optimized geometry",
  "lattice": [[-1.296, -1.039, 9.320], [6.596, -6.789, 0.161], [5.109, -1.511, 5.350]],
  "species": ["Ag", "Ag", "Cd", "Cd", "K", "K", "K", "K"],
  "frac_coords": [[0.500, 0.500, 0.000], [0.250, 0.750, 0.500], [0.750, 0.250, 0.500], [0.000, 0.000, 0.000], [0.601, 0.125, 0.250], [0.875, 0.851, 0.750], [0.149, 0.625, 0.250], [0.375, 0.399, 0.750]],
  "relative_energy_ev_per_atom": 0.185,
  "magnetic_moment_mub_per_fu": 0.000,
  "space_group": "No. 122",
  "dos_ef_per_ev_atom": 0.48
}